Material: LaMnCl6
Method: DFT, PBE
State: relaxed

CIF file:
```
data_LaMnCl6
_cell_length_a 6.404
_cell_length_b 6.461
_cell_length_c 6.960
_cell_angle_alpha 66.39
_cell_angle_beta 62.75
_cell_angle_gamma 63.92
_space_group_name_H-M_alt 'P -1'
_space_group_IT_number 2
loop_
_space_group_symop_operation_xyz
'x,y,z'
'-x,-y,-z'
loop_
_atom_site_label
_atom_site_type_symbol
_atom_site_fract_x
_atom_site_fract_y
_atom_site_fract_z
_atom_site_occupancy
La1 La 0.000 0.000 0.000 1
Mn1 Mn 0.500 0.500 0.500 1
Cl1 Cl 0.128 0.429 0.728 1
Cl2 Cl 0.267 0.885 0.259 1
Cl3 Cl 0.441 0.719 0.724 1
```

Summary:
* DOS at the Fermi energy: 0.6 states/eV/cell
* volume: 223 Å³/cell
* final energy: -37.84 eV/cell